Run 1
# H2IrPt, relaxed, DFT GGA-PBE
# - M_tot: 0.00 μB/f.u.
# - Theoretical density: 16.58 g/cm³
data_H2IrPt
_chemical_formula_sum 'H6 Ir3 Pt3'
_cell_length_a 2.7701
_cell_length_b 2.7701
_cell_length_c 17.6061
_cell_angle_alpha 90.00
_cell_angle_beta 90.00
_cell_angle_gamma 120.00
_symmetry_space_group_name_H-M 'R -3 m'
_symmetry_Int_Tables_number 166
_symmetry_space_group_name_Hall '-R 3 2"'
loop_
_atom_site_label
_atom_site_type_symbol
_atom_site_fract_x
_atom_site_fract_y
_atom_site_fract_z
H1 H 0.0000 0.0000 0.1022
Ir1 Ir 0.0000 0.0000 0.0000
Pt1 Pt 0.0000 0.0000 0.5000

Run 2
# H2IrPt, relaxed, DFT GGA-PBE
# - M_tot: 0.00 μB/f.u.
# - Theoretical density: 17.07 g/cm³
data_H2IrPt
_chemical_formula_sum 'H8 Ir4 Pt4'
_cell_length_a 4.560
_cell_length_b 4.560
_cell_length_c 7.287
_cell_angle_alpha 90.00
_cell_angle_beta 90.00
_cell_angle_gamma 90.00
_symmetry_space_group_name_H-M 'I -4 2 d'
_symmetry_Int_Tables_number 122
_symmetry_space_group_name_Hall 'I -4 2bw'
loop_
_atom_site_label
_atom_site_type_symbol
_atom_site_fract_x
_atom_site_fract_y
_atom_site_fract_z
H1 H 0.233 0.250 0.125
Ir1 Ir 0.000 0.000 0.000
Pt1 Pt 0.000 0.000 0.500

Of them, the most stable is run 2 and the least stable is run 1.

Run 1
# HIrPtRh2, relaxed, DFT GGA-PBE
# - M_tot: 0.00 μB/f.u.
# - Theoretical density: 16.12 g/cm³
data_HIrPtRh2
_chemical_formula_sum 'H1 Ir1 Pt1 Rh2'
_cell_length_a 3.925
_cell_length_b 3.925
_cell_length_c 3.973
_cell_angle_alpha 90.00
_cell_angle_beta 90.00
_cell_angle_gamma 90.00
_symmetry_space_group_name_H-M 'P 4/m m m'
_symmetry_Int_Tables_number 123
_symmetry_space_group_name_Hall '-P 4 2'
loop_
_atom_site_label
_atom_site_type_symbol
_atom_site_fract_x
_atom_site_fract_y
_atom_site_fract_z
H1 H 0.000 0.000 0.000
Ir1 Ir 0.500 0.500 0.500
Pt1 Pt 0.000 0.000 0.500
Rh1 Rh 0.000 0.500 0.000

Run 2
# HIrPtRh2, relaxed, DFT GGA-PBE
# - M_tot: 0.00 μB/f.u.
# - Theoretical density: 16.16 g/cm³
data_HIrPtRh2
_chemical_formula_sum 'H1 Ir1 Pt1 Rh2'
_cell_length_a 3.938
_cell_length_b 3.938
_cell_length_c 3.936
_cell_angle_alpha 90.00
_cell_angle_beta 90.00
_cell_angle_gamma 90.00
_symmetry_space_group_name_H-M 'P 4/m m m'
_symmetry_Int_Tables_number 123
_symmetry_space_group_name_Hall '-P 4 2'
loop_
_atom_site_label
_atom_site_type_symbol
_atom_site_fract_x
_atom_site_fract_y
_atom_site_fract_z
H1 H 0.000 0.000 0.000
Ir1 Ir 0.000 0.000 0.500
Pt1 Pt 0.500 0.500 0.500
Rh1 Rh 0.000 0.500 0.000

Of them, the most stable is run 2 and the least stable is run 1.

Run 1
# HIrRu2Pt, relaxed, DFT GGA-PBE
# - M_tot: 0.00 μB/f.u.
# - Theoretical density: 16.31 g/cm³
data_HIrRu2Pt
_chemical_formula_sum 'H1 Ir1 Ru2 Pt1'
_cell_length_a 3.910
_cell_length_b 3.910
_cell_length_c 3.931
_cell_angle_alpha 90.00
_cell_angle_beta 90.00
_cell_angle_gamma 90.00
_symmetry_space_group_name_H-M 'P 4/m m m'
_symmetry_Int_Tables_number 123
_symmetry_space_group_name_Hall '-P 4 2'
loop_
_atom_site_label
_atom_site_type_symbol
_atom_site_fract_x
_atom_site_fract_y
_atom_site_fract_z
H1 H 0.000 0.000 0.000
Ir1 Ir 0.000 0.000 0.500
Ru1 Ru 0.000 0.500 0.000
Pt1 Pt 0.500 0.500 0.500

Run 2
# HIrRu2Pt, relaxed, DFT GGA-PBE
# - M_tot: 0.00 μB/f.u.
# - Theoretical density: 16.28 g/cm³
data_HIrRu2Pt
_chemical_formula_sum 'H1 Ir1 Ru2 Pt1'
_cell_length_a 3.907
_cell_length_b 3.907
_cell_length_c 3.946
_cell_angle_alpha 90.00
_cell_angle_beta 90.00
_cell_angle_gamma 90.00
_symmetry_space_group_name_H-M 'P 4/m m m'
_symmetry_Int_Tables_number 123
_symmetry_space_group_name_Hall '-P 4 2'
loop_
_atom_site_label
_atom_site_type_symbol
_atom_site_fract_x
_atom_site_fract_y
_atom_site_fract_z
H1 H 0.000 0.000 0.000
Ir1 Ir 0.500 0.500 0.500
Ru1 Ru 0.000 0.500 0.000
Pt1 Pt 0.000 0.000 0.500

Of them, the most stable is run 1 and the least stable is run 2.

Run 1
# ScHIr2Pt, relaxed, DFT GGA-PBE
# - M_tot: 0.00 μB/f.u.
# - Theoretical density: 16.05 g/cm³
data_ScHIr2Pt
_chemical_formula_sum 'Sc1 H1 Ir2 Pt1'
_cell_length_a 4.025
_cell_length_b 4.025
_cell_length_c 3.995
_cell_angle_alpha 90.00
_cell_angle_beta 90.00
_cell_angle_gamma 90.00
_symmetry_space_group_name_H-M 'P 4/m m m'
_symmetry_Int_Tables_number 123
_symmetry_space_group_name_Hall '-P 4 2'
loop_
_atom_site_label
_atom_site_type_symbol
_atom_site_fract_x
_atom_site_fract_y
_atom_site_fract_z
Sc1 Sc 0.000 0.000 0.000
H1 H 0.500 0.500 0.500
Ir1 Ir 0.000 0.500 0.500
Pt1 Pt 0.500 0.500 0.000

Run 2
# ScHIr2Pt, relaxed, DFT GGA-PBE
# - M_tot: 0.00 μB/f.u.
# - Theoretical density: 16.18 g/cm³
data_ScHIr2Pt
_chemical_formula_sum 'Sc1 H1 Ir2 Pt1'
_cell_length_a 3.959
_cell_length_b 3.959
_cell_length_c 4.095
_cell_angle_alpha 90.00
_cell_angle_beta 90.00
_cell_angle_gamma 90.00
_symmetry_space_group_name_H-M 'P 4/m m m'
_symmetry_Int_Tables_number 123
_symmetry_space_group_name_Hall '-P 4 2'
loop_
_atom_site_label
_atom_site_type_symbol
_atom_site_fract_x
_atom_site_fract_y
_atom_site_fract_z
Sc1 Sc 0.000 0.000 0.000
H1 H 0.000 0.000 0.500
Ir1 Ir 0.000 0.500 0.500
Pt1 Pt 0.500 0.500 0.000

Of them, the most stable is run 2 and the least stable is run 1.

Run 1
# SrH2IrPt, relaxed, DFT GGA-PBE
# - M_tot: 0.00 μB/f.u.
# - Theoretical density: 9.93 g/cm³
data_SrH2IrPt
_chemical_formula_sum 'Sr1 H2 Ir1 Pt1'
_cell_length_a 4.048
_cell_length_b 3.946
_cell_length_c 5.013
_cell_angle_alpha 90.00
_cell_angle_beta 95.27
_cell_angle_gamma 90.00
_symmetry_space_group_name_H-M 'P 1 2 1'
_symmetry_Int_Tables_number 3
loop_
_symmetry_equiv_pos_as_xyz
'x,y,z'
'-x,y,-z'
loop_
_atom_site_label
_atom_site_type_symbol
_atom_site_fract_x
_atom_site_fract_y
_atom_site_fract_z
Sr1 Sr 0.000 0.000 0.000
H1 H 0.367 0.271 0.661
Ir1 Ir 0.500 0.927 0.500
Pt1 Pt 0.000 0.503 0.500

Run 2
# SrH2IrPt, relaxed, DFT GGA-PBE
# - M_tot: 0.00 μB/f.u.
# - Theoretical density: 11.27 g/cm³
data_SrH2IrPt
_chemical_formula_sum 'Sr2 H4 Ir2 Pt2'
_cell_length_a 3.120
_cell_length_b 4.252
_cell_length_c 10.597
_cell_angle_alpha 90.00
_cell_angle_beta 90.00
_cell_angle_gamma 90.00
_symmetry_space_group_name_H-M 'I m m 2'
_symmetry_Int_Tables_number 44
loop_
_symmetry_equiv_pos_as_xyz
'x,y,z'
'-x,-y,z'
'-x,y,z'
'x,-y,z'
'x+1/2,y+1/2,z+1/2'
'-x+1/2,-y+1/2,z+1/2'
'-x+1/2,y+1/2,z+1/2'
'x+1/2,-y+1/2,z+1/2'
loop_
_atom_site_label
_atom_site_type_symbol
_atom_site_fract_x
_atom_site_fract_y
_atom_site_fract_z
Sr1 Sr 0.000 0.000 0.000
H1 H 0.000 0.500 0.136
H2 H 0.000 0.500 0.876
Ir1 Ir 0.000 0.000 0.296
Pt1 Pt 0.000 0.000 0.708

Run 3
# SrH2IrPt, relaxed, DFT GGA-PBE
# - M_tot: 0.00 μB/f.u.
# - Theoretical density: 11.05 g/cm³
data_SrH2IrPt
_chemical_formula_sum 'Sr2 H4 Ir2 Pt2'
_cell_length_a 11.309
_cell_length_b 3.566
_cell_length_c 3.763
_cell_angle_alpha 90.00
_cell_angle_beta 109.16
_cell_angle_gamma 90.00
_symmetry_space_group_name_H-M 'C 1 m 1'
_symmetry_Int_Tables_number 8
loop_
_symmetry_equiv_pos_as_xyz
'x,y,z'
'x,-y,z'
'x+1/2,y+1/2,z'
'x+1/2,-y+1/2,z'
loop_
_atom_site_label
_atom_site_type_symbol
_atom_site_fract_x
_atom_site_fract_y
_atom_site_fract_z
Sr1 Sr 0.000 0.000 0.000
H1 H 0.052 0.500 0.522
H2 H 0.178 0.000 0.690
Ir1 Ir 0.206 0.500 0.766
Pt1 Pt 0.288 0.000 0.325

Of them, the most stable is run 1 and the least stable is run 2.

Run 1
# SrH2IrPt, relaxed, DFT GGA-PBE
# - M_tot: 0.00 μB/f.u.
# - Theoretical density: 10.33 g/cm³
data_SrH2IrPt
_chemical_formula_sum 'Sr2 H4 Ir2 Pt2'
_cell_length_a 7.996
_cell_length_b 4.425
_cell_length_c 4.334
_cell_angle_alpha 90.00
_cell_angle_beta 90.81
_cell_angle_gamma 90.00
_symmetry_space_group_name_H-M 'C 1 m 1'
_symmetry_Int_Tables_number 8
loop_
_symmetry_equiv_pos_as_xyz
'x,y,z'
'x,-y,z'
'x+1/2,y+1/2,z'
'x+1/2,-y+1/2,z'
loop_
_atom_site_label
_atom_site_type_symbol
_atom_site_fract_x
_atom_site_fract_y
_atom_site_fract_z
Sr1 Sr 0.000 0.000 0.000
H1 H 0.334 0.000 0.091
H2 H 0.498 0.000 0.732
Ir1 Ir 0.333 0.000 0.480
Pt1 Pt 0.173 0.500 0.491

Run 2
# SrH2IrPt, relaxed, DFT GGA-PBE
# - M_tot: 0.00 μB/f.u.
# - Theoretical density: 10.70 g/cm³
data_SrH2IrPt
_chemical_formula_sum 'Sr2 H4 Ir2 Pt2'
_cell_length_a 3.754
_cell_length_b 3.754
_cell_length_c 10.510
_cell_angle_alpha 90.00
_cell_angle_beta 90.00
_cell_angle_gamma 90.00
_symmetry_space_group_name_H-M 'I 4 m m'
_symmetry_Int_Tables_number 107
_symmetry_space_group_name_Hall 'I 4 -2'
loop_
_atom_site_label
_atom_site_type_symbol
_atom_site_fract_x
_atom_site_fract_y
_atom_site_fract_z
Sr1 Sr 0.000 0.000 0.000
H1 H 0.000 0.500 0.300
Ir1 Ir 0.000 0.000 0.279
Pt1 Pt 0.000 0.000 0.712

Of them, the most stable is run 1 and the least stable is run 2.

Run 1
# SrH2IrPt, relaxed, DFT GGA-PBE
# - M_tot: 0.31 μB/f.u.
# - Theoretical density: 9.42 g/cm³
data_SrH2IrPt
_chemical_formula_sum 'Sr1 H2 Ir1 Pt1'
_cell_length_a 4.147
_cell_length_b 4.458
_cell_length_c 5.431
_cell_angle_alpha 107.23
_cell_angle_beta 90.22
_cell_angle_gamma 117.26
_symmetry_space_group_name_H-M 'P 1'
_symmetry_Int_Tables_number 1
loop_
_symmetry_equiv_pos_as_xyz
'x,y,z'
loop_
_atom_site_label
_atom_site_type_symbol
_atom_site_fract_x
_atom_site_fract_y
_atom_site_fract_z
Sr1 Sr 0.000 0.000 0.000
H1 H 0.471 0.940 0.235
H2 H 0.654 0.308 0.896
Ir1 Ir 0.567 0.133 0.563
Pt1 Pt 0.251 0.512 0.567

Run 2
# SrH2IrPt, relaxed, DFT GGA-PBE
# - M_tot: 0.00 μB/f.u.
# - Theoretical density: 9.93 g/cm³
data_SrH2IrPt
_chemical_formula_sum 'Sr2 H4 Ir2 Pt2'
_cell_length_a 4.595
_cell_length_b 7.613
_cell_length_c 4.576
_cell_angle_alpha 90.00
_cell_angle_beta 94.43
_cell_angle_gamma 90.00
_symmetry_space_group_name_H-M 'C 1 2 1'
_symmetry_Int_Tables_number 5
loop_
_symmetry_equiv_pos_as_xyz
'x,y,z'
'-x,y,-z'
'x+1/2,y+1/2,z'
'-x+1/2,y+1/2,-z'
loop_
_atom_site_label
_atom_site_type_symbol
_atom_site_fract_x
_atom_site_fract_y
_atom_site_fract_z
Sr1 Sr 0.000 0.000 0.000
H1 H 0.217 0.730 0.235
Ir1 Ir 0.000 0.665 0.500
Pt1 Pt 0.000 0.332 0.500

Run 3
# SrH2IrPt, relaxed, DFT GGA-PBE
# - M_tot: 0.00 μB/f.u.
# - Theoretical density: 10.29 g/cm³
data_SrH2IrPt
_chemical_formula_sum 'Sr1 H2 Ir1 Pt1'
_cell_length_a 3.896
_cell_length_b 4.004
_cell_length_c 4.964
_cell_angle_alpha 85.81
_cell_angle_beta 85.41
_cell_angle_gamma 89.70
_symmetry_space_group_name_H-M 'P -1'
_symmetry_Int_Tables_number 2
loop_
_symmetry_equiv_pos_as_xyz
'x,y,z'
'-x,-y,-z'
loop_
_atom_site_label
_atom_site_type_symbol
_atom_site_fract_x
_atom_site_fract_y
_atom_site_fract_z
Sr1 Sr 0.000 0.000 0.000
H1 H 0.360 0.351 0.307
Ir1 Ir 0.500 0.000 0.500
Pt1 Pt 0.000 0.500 0.500

Run 4
# SrH2IrPt, relaxed, DFT GGA-PBE
# - M_tot: 0.00 μB/f.u.
# - Theoretical density: 11.37 g/cm³
data_SrH2IrPt
_chemical_formula_sum 'Sr2 H4 Ir2 Pt2'
_cell_length_a 3.294
_cell_length_b 3.938
_cell_length_c 10.734
_cell_angle_alpha 90.00
_cell_angle_beta 90.00
_cell_angle_gamma 90.00
_symmetry_space_group_name_H-M 'I m m 2'
_symmetry_Int_Tables_number 44
loop_
_symmetry_equiv_pos_as_xyz
'x,y,z'
'-x,-y,z'
'-x,y,z'
'x,-y,z'
'x+1/2,y+1/2,z+1/2'
'-x+1/2,-y+1/2,z+1/2'
'-x+1/2,y+1/2,z+1/2'
'x+1/2,-y+1/2,z+1/2'
loop_
_atom_site_label
_atom_site_type_symbol
_atom_site_fract_x
_atom_site_fract_y
_atom_site_fract_z
Sr1 Sr 0.000 0.000 0.000
H1 H 0.000 0.000 0.465
H2 H 0.000 0.500 0.153
Ir1 Ir 0.000 0.000 0.715
Pt1 Pt 0.000 0.000 0.307

Of them, the most stable is run 1 and the least stable is run 4.

Run 1
# Ta2HIrPt, relaxed, DFT GGA-PBE
# - M_tot: 0.00 μB/f.u.
# - Theoretical density: 18.60 g/cm³
data_Ta2HIrPt
_chemical_formula_sum 'Ta2 H1 Ir1 Pt1'
_cell_length_a 4.051
_cell_length_b 4.051
_cell_length_c 4.083
_cell_angle_alpha 90.00
_cell_angle_beta 90.00
_cell_angle_gamma 90.00
_symmetry_space_group_name_H-M 'P 4/m m m'
_symmetry_Int_Tables_number 123
_symmetry_space_group_name_Hall '-P 4 2'
loop_
_atom_site_label
_atom_site_type_symbol
_atom_site_fract_x
_atom_site_fract_y
_atom_site_fract_z
Ta1 Ta 0.000 0.500 0.000
H1 H 0.000 0.000 0.000
Ir1 Ir 0.500 0.500 0.500
Pt1 Pt 0.000 0.000 0.500

Run 2
# Ta2HIrPt, relaxed, DFT GGA-PBE
# - M_tot: 0.00 μB/f.u.
# - Theoretical density: 18.64 g/cm³
data_Ta2HIrPt
_chemical_formula_sum 'Ta2 H1 Ir1 Pt1'
_cell_length_a 4.058
_cell_length_b 4.058
_cell_length_c 4.058
_cell_angle_alpha 90.00
_cell_angle_beta 90.00
_cell_angle_gamma 90.00
_symmetry_space_group_name_H-M 'P 4/m m m'
_symmetry_Int_Tables_number 123
_symmetry_space_group_name_Hall '-P 4 2'
loop_
_atom_site_label
_atom_site_type_symbol
_atom_site_fract_x
_atom_site_fract_y
_atom_site_fract_z
Ta1 Ta 0.000 0.500 0.000
H1 H 0.000 0.000 0.000
Ir1 Ir 0.000 0.000 0.500
Pt1 Pt 0.500 0.500 0.500

Of them, the most stable is run 2 and the least stable is run 1.